No. 1
Entry from the Alexandria database: a relaxed structure of LiTl3S6 (PBE).

```
10
Lattice="5.655 3.265 2.359 -5.655 3.265 2.359 0.000 -6.530 2.359" Properties=species:S:1:pos:R:3 pbc="T T T"
Li 0.000 0.000 0.000
Tl -2.828 -1.632 2.359
Tl -2.828 1.632 4.717
Tl 0.000 3.265 2.359
S 0.000 -2.354 1.644
S -2.038 1.177 1.644
S 2.038 1.177 1.644
S -2.038 -1.177 5.431
S 2.038 -1.177 5.431
S 0.000 2.354 5.431
```

The value obtained for the raw formation energy is -0.283 eV/atom. As for the space group: No. 166. The spin magnetization is 0.00 μB per formula unit.

No. 2
Entry from the Alexandria database: a relaxed structure of Li2TlS2 (PBE).

```
5
Lattice="-2.385 2.385 5.045 2.385 -2.385 5.045 2.385 2.385 -5.045" Properties=species:S:1:pos:R:3 pbc="T T T"
Li 0.000 0.000 1.998
Li 0.000 0.000 8.092
Tl 0.000 0.000 5.045
S 2.385 0.000 2.522
S 0.000 2.385 2.522
```

As for the energy relative to the lowest polymorph listed for this composition: 60 meV per atom. The value obtained for the raw formation energy is -0.586 eV/atom. As for the space group: No. 139. The spin magnetization is 0.00 μB per formula unit.

No. 3
Entry from the Alexandria database: a relaxed structure of LiTl2S4 (PBE).

```
14
Lattice="3.419 -5.014 0.000 3.419 5.014 0.000 0.000 0.000 9.862" Properties=species:S:1:pos:R:3 pbc="T T T"
Li 0.000 0.000 2.466
Li 0.000 0.000 7.397
Tl 3.399 2.062 0.000
Tl 3.439 2.062 4.931
Tl 3.399 -2.062 4.931
Tl 3.439 -2.062 0.000
S 1.709 2.507 1.898
S 1.709 2.507 7.964
S 1.379 0.615 4.931
S 1.379 -0.615 0.000
S 1.709 -2.507 3.033
S 1.709 -2.507 6.830
S 5.459 0.615 0.000
S 5.459 -0.615 4.931
```

The value obtained for the raw formation energy is -0.115 eV/atom. As for the space group: No. 66. The spin magnetization is 0.00 μB per formula unit.

No. 4
Entry from the Alexandria database: a relaxed structure of LiTl2S2 (PBE).

```
10
Lattice="7.654 0.000 0.000 0.000 7.654 0.000 0.000 0.000 4.209" Properties=species:S:1:pos:R:3 pbc="T T T"
Li 0.000 0.000 0.000
Li 3.827 3.827 0.000
Tl 1.080 2.747 2.104
Tl 2.747 6.574 2.104
Tl 4.907 1.080 2.104
Tl 6.574 4.907 2.104
S 1.406 5.234 0.000
S 2.421 1.406 0.000
S 5.234 6.248 0.000
S 6.248 2.421 0.000
```

The value obtained for the raw formation energy is -0.331 eV/atom. As for the space group: No. 127. The spin magnetization is 0.00 μB per formula unit.

No. 5
Entry from the Alexandria database: a relaxed structure of Li3TlS (PBE).

```
5
Lattice="4.675 0.000 0.000 0.000 4.675 0.000 0.000 0.000 4.675" Properties=species:S:1:pos:R:3 pbc="T T T"
Li 0.000 0.000 2.338
Li 0.000 2.338 0.000
Li 2.338 0.000 0.000
Tl 2.338 2.338 2.338
S 0.000 0.000 0.000
```

As for the energy relative to the lowest polymorph listed for this composition: 0 meV per atom. The value obtained for the raw formation energy is -0.634 eV/atom. As for the space group: No. 221. The spin magnetization is 0.00 μB per formula unit.

No. 6
Entry from the Alexandria database: a relaxed structure of LiTl2S6 (PBE).

```
9
Lattice="3.992 0.000 0.000 1.950 3.868 0.000 1.910 0.974 15.194" Properties=species:S:1:pos:R:3 pbc="T T T"
Li 0.000 0.000 0.000
Tl 1.960 1.198 6.184
Tl 5.892 3.644 9.010
S 3.892 2.375 14.058
S 3.896 2.256 10.586
S 3.960 3.610 2.790
S 3.892 1.233 12.404
S 3.957 2.587 4.608
S 3.961 2.467 1.136
```

The value obtained for the raw formation energy is -0.203 eV/atom. As for the space group: No. 2. The spin magnetization is 0.00 μB per formula unit.

No. 7
Entry from the Alexandria database: a relaxed structure of Li3TlS (PBE).

```
5
Lattice="5.030 0.000 0.000 0.000 5.030 0.000 0.000 0.000 5.030" Properties=species:S:1:pos:R:3 pbc="T T T"
Li 0.000 0.000 2.515
Li 0.000 2.515 0.000
Li 2.515 0.000 0.000
Tl 0.000 0.000 0.000
S 2.515 2.515 2.515
```

As for the energy relative to the lowest polymorph listed for this composition: 902 meV per atom. The value obtained for the raw formation energy is 0.268 eV/atom. As for the space group: No. 221. The spin magnetization is 1.36 μB per formula unit.

No. 8
Entry from the Alexandria database: a relaxed structure of LiUTl2S4 (PBE).

```
8
Lattice="6.637 0.000 0.000 0.000 4.028 0.000 -2.215 0.000 7.452" Properties=species:S:1:pos:R:3 pbc="T T T"
Li 0.000 0.000 0.000
U 3.318 2.014 0.000
Tl -1.107 2.014 3.726
Tl 2.211 0.000 3.726
S 1.247 2.014 1.449
S 0.040 0.000 6.022
S 4.382 0.000 1.429
S 3.175 2.014 6.003
```

The value obtained for the raw formation energy is -0.967 eV/atom. As for the space group: No. 10. The spin magnetization is 1.00 μB per formula unit.

No. 9
Entry from the Alexandria database: a relaxed structure of LiUTlS4 (PBE).

```
14
Lattice="6.887 0.000 0.000 0.000 5.251 0.000 -2.986 0.000 8.847" Properties=species:S:1:pos:R:3 pbc="T T T"
Li 0.781 1.313 2.649
Li 3.121 3.938 6.198
U 0.180 3.938 4.945
U 3.722 1.313 3.902
Tl 1.700 3.938 0.310
Tl 2.202 1.313 8.537
S -1.884 0.102 6.103
S -1.884 2.523 6.103
S 1.228 1.313 5.035
S 2.795 1.313 1.485
S 1.106 3.938 7.362
S 2.673 3.938 3.812
S 5.785 2.727 2.744
S 5.785 5.149 2.744
```

The value obtained for the raw formation energy is -0.954 eV/atom. As for the space group: No. 11. The spin magnetization is 1.20 μB per formula unit.

No. 10
Entry from the Alexandria database: a relaxed structure of LiU2Tl2S6 (PBE).

```
11
Lattice="3.413 -6.012 0.000 3.413 6.012 0.000 -2.086 0.000 7.504" Properties=species:S:1:pos:R:3 pbc="T T T"
Li 0.000 0.000 0.000
U 3.413 1.983 0.000
U 3.413 -1.983 0.000
Tl 2.370 4.114 3.752
Tl 2.370 -4.114 3.752
S 1.202 2.163 1.463
S 0.226 0.000 6.127
S 1.202 -2.163 1.463
S 3.539 2.163 6.041
S 4.515 0.000 1.377
S 3.539 -2.163 6.041
```

The value obtained for the raw formation energy is -1.110 eV/atom. As for the space group: No. 12. The spin magnetization is 3.00 μB per formula unit.

No. 11
Entry from the Alexandria database: a relaxed structure of Li2UTl3S6 (PBE).

```
12
Lattice="3.359 -5.994 0.000 3.359 5.994 0.000 -2.311 0.000 7.049" Properties=species:S:1:pos:R:3 pbc="T T T"
Li 3.359 4.048 0.000
Li 3.359 -4.048 0.000
U 3.359 0.000 0.000
Tl -1.155 0.000 3.524
Tl 2.204 2.032 3.524
Tl 2.204 -2.032 3.524
S -0.038 1.860 5.650
S 1.248 0.000 1.481
S -0.038 -1.860 5.650
S 4.445 1.860 1.399
S 3.159 0.000 5.568
S 4.445 -1.860 1.399
```

The value obtained for the raw formation energy is -0.819 eV/atom. As for the space group: No. 12. The spin magnetization is 0.00 μB per formula unit.

No. 12
Entry from the Alexandria database: a relaxed structure of LiU2TlS4 (PBE).

```
16
Lattice="1.998 -6.704 0.000 1.998 6.704 0.000 0.000 0.000 14.163" Properties=species:S:1:pos:R:3 pbc="T T T"
Li 1.998 4.326 10.622
Li 1.998 -4.326 3.541
U 1.998 1.767 0.830
U 1.998 1.767 6.251
U 1.998 -1.767 7.912
U 1.998 -1.767 13.332
Tl 1.998 5.373 3.541
Tl 1.998 -5.373 10.622
S 0.000 0.000 0.000
S 0.000 0.000 7.081
S 1.998 3.165 8.574
S 1.998 3.165 12.670
S 1.998 1.102 3.541
S 1.998 -1.102 10.622
S 1.998 -3.165 1.493
S 1.998 -3.165 5.589
```

The value obtained for the raw formation energy is -1.165 eV/atom. As for the space group: No. 63. The spin magnetization is 5.78 μB per formula unit.

No. 13
Entry from the Alexandria database: a relaxed structure of LiU2Tl3S6 (PBE).

```
12
Lattice="3.458 -6.003 0.000 3.458 6.003 0.000 -2.273 0.000 7.502" Properties=species:S:1:pos:R:3 pbc="T T T"
Li 0.000 0.000 0.000
U 3.458 2.006 0.000
U 3.458 -2.006 0.000
Tl 2.321 4.071 3.751
Tl 2.321 0.000 3.751
Tl 2.321 -4.071 3.751
S 1.206 2.090 1.483
S 0.098 0.000 6.080
S 1.206 -2.090 1.483
S 3.437 2.090 6.019
S 4.545 0.000 1.422
S 3.437 -2.090 6.019
```

The value obtained for the raw formation energy is -1.032 eV/atom. As for the space group: No. 12. The spin magnetization is 4.00 μB per formula unit.

No. 14
Entry from the Alexandria database: a relaxed structure of LiTl2WS4 (PBE).

```
16
Lattice="0.000 6.479 11.630 2.954 0.000 11.630 2.954 6.479 0.000" Properties=species:S:1:pos:R:3 pbc="T T T"
Li 0.738 1.620 2.908
Li 5.169 11.339 20.353
Tl 2.215 4.860 1.444
Tl 3.692 8.099 7.259
Tl 2.215 4.860 16.001
Tl 3.692 8.099 21.816
W 2.215 4.860 8.723
W 3.692 8.099 14.538
S 2.371 2.952 4.127
S 3.537 6.192 9.942
S 2.060 6.767 4.127
S 2.060 2.952 13.318
S 3.848 10.006 9.942
S 3.848 6.192 19.133
S 2.371 6.767 13.318
S 3.537 10.006 19.133
```

The value obtained for the raw formation energy is -0.548 eV/atom. As for the space group: No. 70. The spin magnetization is 0.00 μB per formula unit.

No. 15
Entry from the Alexandria database: a relaxed structure of Li2TlWS4 (PBE).

```
8
Lattice="-3.322 3.322 4.324 3.322 -3.322 4.324 3.322 3.322 -4.324" Properties=species:S:1:pos:R:3 pbc="T T T"
Li 3.322 0.000 2.162
Li 0.000 3.322 2.162
Tl 0.000 0.000 0.000
W 0.000 0.000 4.324
S 1.284 -1.284 2.995
S 2.038 2.038 1.329
S -1.284 1.284 2.995
S 1.284 1.284 5.654
```

The value obtained for the raw formation energy is -0.721 eV/atom. As for the space group: No. 121. The spin magnetization is 1.02 μB per formula unit.

No. 16
Entry from the Alexandria database: a relaxed structure of Li2YTlS (PBE).

```
5
Lattice="4.651 0.000 0.000 0.000 4.651 0.000 0.000 0.000 5.341" Properties=species:S:1:pos:R:3 pbc="T T T"
Li 0.000 2.326 0.000
Li 2.326 0.000 0.000
Y 0.000 0.000 2.671
Tl 2.326 2.326 2.671
S 0.000 0.000 0.000
```

The value obtained for the raw formation energy is -0.761 eV/atom. As for the space group: No. 123. The spin magnetization is 0.00 μB per formula unit.

No. 17
Entry from the Alexandria database: a relaxed structure of LiY2TlS4 (PBE).

```
16
Lattice="2.012 -6.739 0.000 2.012 6.739 0.000 0.000 0.000 14.076" Properties=species:S:1:pos:R:3 pbc="T T T"
Li 2.012 4.402 10.557
Li 2.012 -4.402 3.519
Y 2.012 1.810 0.854
Y 2.012 1.810 6.184
Y 2.012 -1.810 7.892
Y 2.012 -1.810 13.222
Tl 2.012 5.385 3.519
Tl 2.012 -5.385 10.557
S 0.000 0.000 0.000
S 0.000 0.000 7.038
S 2.012 3.208 8.526
S 2.012 3.208 12.588
S 2.012 1.047 3.519
S 2.012 -1.047 10.557
S 2.012 -3.208 1.488
S 2.012 -3.208 5.550
```

The value obtained for the raw formation energy is -1.647 eV/atom. As for the space group: No. 63. The spin magnetization is 0.00 μB per formula unit.

No. 18
Entry from the Alexandria database: a relaxed structure of LiY2TlS (PBE).

```
10
Lattice="7.600 0.000 0.000 0.000 3.886 0.000 -2.737 0.000 7.950" Properties=species:S:1:pos:R:3 pbc="T T T"
Li -0.004 0.972 1.155
Li 4.867 2.915 6.795
Y 0.465 2.915 4.086
Y 2.599 2.915 0.917
Y 2.264 0.972 7.033
Y 4.397 0.972 3.864
Tl -0.818 0.972 6.306
Tl 5.680 2.915 1.644
S 1.807 0.972 2.637
S 3.056 2.915 5.313
```

As for the energy relative to the lowest polymorph listed for this composition: 0 meV per atom. The value obtained for the raw formation energy is -0.973 eV/atom. As for the space group: No. 11. The spin magnetization is 0.00 μB per formula unit.

No. 19
Entry from the Alexandria database: a relaxed structure of LiY2TlS (PBE).

```
5
Lattice="5.283 0.000 0.000 0.000 5.283 0.000 0.000 0.000 4.438" Properties=species:S:1:pos:R:3 pbc="T T T"
Li 0.000 0.000 0.000
Y 0.000 2.642 2.219
Y 2.642 0.000 2.219
Tl 2.642 2.642 0.000
S 0.000 0.000 2.219
```

As for the energy relative to the lowest polymorph listed for this composition: 76 meV per atom. The value obtained for the raw formation energy is -0.897 eV/atom. As for the space group: No. 123. The spin magnetization is 0.00 μB per formula unit.

No. 20
Entry from the Alexandria database: a relaxed structure of LiTlZnS2 (PBE).

```
10
Lattice="6.584 -2.007 0.000 6.584 2.007 0.000 -5.943 0.000 8.322" Properties=species:S:1:pos:R:3 pbc="T T T"
Li -0.610 0.000 3.543
Li 7.835 0.000 4.779
Tl -0.874 0.000 7.274
Tl 8.099 0.000 1.048
Zn 4.057 0.000 2.680
Zn 3.168 0.000 5.642
S -3.939 0.000 6.822
S 1.858 0.000 3.581
S 5.367 0.000 4.741
S 11.164 0.000 1.500
```

The value obtained for the raw formation energy is -0.797 eV/atom. As for the space group: No. 12. The spin magnetization is 0.00 μB per formula unit.